No. 1
{
  "formula": "CaNiRh2",
  "functional": "GGA-PBE",
  "state": "optimized geometry",
  "cell": [[4.853, 0.011, -0.023], [3.992, 2.761, -0.023], [0.956, 0.299, 4.896]],
  "species": ["Ni", "Ca", "Rh", "Rh"],
  "fractional_positions": [[0.264, 0.264, 0.214], [0.502, 0.502, 0.485], [0.997, 0.997, 0.985], [0.738, 0.738, 0.816]],
  "sg": "Cm (8)",
  "energy_ev_per_atom": -5.5930
}

---

No. 2
{
  "formula": "NaAsPd2Pt",
  "functional": "GGA-PBE",
  "state": "optimized geometry",
  "cell": [[4.559, 0.000, 0.000], [0.000, 4.749, 0.000], [0.000, 0.000, 4.559]],
  "species": ["Na", "As", "Pd", "Pd", "Pt"],
  "fractional_positions": [[0.000, 0.000, 0.000], [0.500, 0.500, 0.500], [0.000, 0.000, 0.500], [0.500, 0.000, 0.000], [0.000, 0.500, 0.000]],
  "sg": "P4/mmm (123)",
  "energy_ev_per_atom": -3.3741
}

---

No. 3
{
  "formula": "HfSn3B",
  "functional": "GGA-PBE",
  "state": "optimized geometry",
  "cell": [[4.805, 0.000, 0.000], [0.000, 4.805, 0.000], [0.000, 0.000, 4.805]],
  "species": ["B", "Hf", "Sn", "Sn", "Sn"],
  "fractional_positions": [[0.000, 0.000, 0.000], [0.500, 0.500, 0.500], [0.000, 0.500, 0.000], [0.000, 0.000, 0.500], [0.500, 0.000, 0.000]],
  "sg": "Pm-3m (221)",
  "energy_ev_per_atom": -5.0179
}

---

No. 4
{
  "formula": "YAsP2",
  "functional": "GGA-PBE",
  "state": "optimized geometry",
  "cell": [[-0.679, 2.565, 1.879], [-3.145, -0.829, -0.005], [1.184, -4.529, 6.609]],
  "species": ["As", "P", "P", "Y"],
  "fractional_positions": [[0.500, 0.500, 0.708], [0.000, 0.000, 0.113], [0.500, 0.500, 0.208], [0.000, 0.000, 0.471]],
  "sg": "P4mm (99)",
  "energy_ev_per_atom": -5.7178
}

---

Please write out number 3 again, unchanged.
{
  "formula": "HfSn3B",
  "functional": "GGA-PBE",
  "state": "optimized geometry",
  "cell": [[4.805, 0.000, 0.000], [0.000, 4.805, 0.000], [0.000, 0.000, 4.805]],
  "species": ["B", "Hf", "Sn", "Sn", "Sn"],
  "fractional_positions": [[0.000, 0.000, 0.000], [0.500, 0.500, 0.500], [0.000, 0.500, 0.000], [0.000, 0.000, 0.500], [0.500, 0.000, 0.000]],
  "sg": "Pm-3m (221)",
  "energy_ev_per_atom": -5.0179
}